Record 1
A plane-wave DFT calculation with PBE with a Hubbard U was carried out for a relaxed structure of LiVPO4F.

Unit cell a=5.2312 b=5.3888 c=7.4284 alpha=106.81 beta=108.80 gamma=97.93
Fractional positions:
1 Li 0.2291 0.3835 0.3148
2 Li 0.7709 0.6165 0.6852
3 V 0.5000 0.0000 0.0000
4 V 0.5000 0.0000 0.5000
5 P 0.1783 0.3586 0.7355
6 P 0.8217 0.6414 0.2645
7 O 0.1311 0.7529 0.4169
8 O 0.1933 0.6574 0.8421
9 O 0.2492 0.2127 0.8868
10 O 0.3721 0.3356 0.6111
11 O 0.6279 0.6644 0.3889
12 O 0.7508 0.7873 0.1132
13 O 0.8067 0.3426 0.1579
14 O 0.8689 0.2471 0.5831
15 F 0.3666 0.0715 0.2360
16 F 0.6334 0.9285 0.7640

Values from the calculation:
For the calculated volume, the calculation gives 11.468 Å³ per atom.

***

Record 2
A plane-wave DFT calculation with PBE with a Hubbard U was carried out for a relaxed structure of Li2VPO4F.

Unit cell a=5.4532 b=5.4532 c=7.4282 alpha=107.61 beta=107.61 gamma=95.33
Fractional positions:
1 Li 0.1266 0.1266 0.4054
2 Li 0.4486 0.1748 0.8158
3 Li 0.8252 0.5514 0.1842
4 Li 0.8734 0.8734 0.5946
5 V 0.3483 0.6513 0.7511
6 V 0.3487 0.6517 0.2489
7 P 0.7024 0.2976 0.5000
8 P 0.9929 0.0071 0.0000
9 O 0.0296 0.8244 0.1269
10 O 0.0574 0.2923 0.1536
11 O 0.1756 0.9704 0.8731
12 O 0.5005 0.3253 0.6116
13 O 0.6483 0.0054 0.3632
14 O 0.6747 0.4995 0.3884
15 O 0.7077 0.9426 0.8464
16 O 0.9946 0.3517 0.6368
17 F 0.2064 0.7936 0.5000
18 F 0.4806 0.5194 0.0000

Values from the calculation:
For the calculated volume, the calculation gives 10.916 Å³ per atom.

***

Record 3
A plane-wave DFT calculation with PBE with a Hubbard U was carried out for a relaxed structure of LiPWO4F.

Unit cell a=5.2839 b=5.6292 c=7.6912 alpha=106.84 beta=108.32 gamma=97.17
Fractional positions:
1 Li 0.2277 0.3980 0.3320
2 Li 0.7723 0.6020 0.6680
3 P 0.1812 0.3676 0.7300
4 P 0.8188 0.6324 0.2700
5 W 0.5000 0.0000 0.0000
6 W 0.5000 0.0000 0.5000
7 O 0.1181 0.7425 0.4196
8 O 0.1856 0.6513 0.8295
9 O 0.2542 0.2243 0.8725
10 O 0.3791 0.3519 0.6119
11 O 0.6209 0.6481 0.3881
12 O 0.7458 0.7757 0.1275
13 O 0.8144 0.3487 0.1705
14 O 0.8819 0.2575 0.5804
15 F 0.3478 0.0826 0.2350
16 F 0.6522 0.9174 0.7650

Values from the calculation:
For the calculated volume, the calculation gives 12.620 Å³ per atom.

***

| no. | final energy (eV/cell) |
| --- | --- |
| 1 | -111.7 |
| 2 | -119.2 |
| 3 | -109.0 |